Below is crystalline InSnPd2 at its relaxed geometry, with properties calculated at the PBE level.

Cell: 6.037 6.037 6.037 Å, 104.13 104.13 120.79°
Fractional positions:
In  0.000  0.000  0.000
In  0.750  0.250  0.500
Sn  0.250  0.750  0.500
Sn  0.500  0.500  0.000
Pd  0.128  0.625  0.003
Pd  0.375  0.378  0.503
Pd  0.622  0.125  0.997
Pd  0.875  0.872  0.497

Summary:
V	82	Å³/f.u.
calculated total energy	-0.1639	Ha/atom